Here is a crystal of CoReNi2 relaxed with PBEsol from Alexandria. Energies are from meta-GGA SCAN.

The space group is I-4m2 (No. 119) and the conventional cell measures 3.540, 3.540 and 7.134 Å, with angles of 90.00, 90.00 and 90.00 degrees. The distinct sites, in fractional coordinates, are Co at (0.000, 0.000, 0.000), Re at (0.000, 0.500, 0.750), Ni at (0.000, 0.000, 0.500) and Ni at (0.000, 0.500, 0.250).

The value obtained for the distance to the lowest polymorph of the same formula is 0.0379 eV per atom. For the total magnetization, the calculation gives 0.004 μB per atom. The electronic total energy comes out at -30.09 eV/atom.

Here is a crystal of CuRhCl3 relaxed with PBEsol from Alexandria. Energies are from meta-GGA SCAN.

The space group is Pm-3m (No. 221) and the conventional cell measures 4.664, 4.664 and 4.664 Å, with angles of 90.00, 90.00 and 90.00 degrees. The distinct sites, in fractional coordinates, are Cu at (0.000, 0.000, 0.000), Rh at (0.500, 0.500, 0.500) and Cl at (0.000, 0.500, 0.500).

For the total magnetization, the calculation gives 0.022 μB per atom. The electronic total energy comes out at -14.61 eV/atom. The calculation puts the formation energy (no corrections) at -0.027 eV/atom.